## NpNb2Au (PBE-GGA)

Data for a geometry-optimized NpNb2Au structure.

## Properties
DOS(E_F) = 1.6234 states/eV per atom
E above lowest polymorph = 0.060 eV/atom
formation energy from the elements = 0.2096 eV/atom

```
data_NpNb2Au
_cell_length_a 3.436
_cell_length_b 3.436
_cell_length_c 6.400
_cell_angle_alpha 90.00
_cell_angle_beta 90.00
_cell_angle_gamma 90.00
_symmetry_space_group_name_H-M 'P 4/m m m'
_symmetry_Int_Tables_number 123
_symmetry_space_group_name_Hall '-P 4 2'
loop_
_atom_site_label
_atom_site_fract_x
_atom_site_fract_y
_atom_site_fract_z
Np1 0.000 0.000 0.000
Nb1 0.500 0.500 0.231
Au1 0.000 0.000 0.500
```



## TbZnGa4 (PBE-GGA)

Data for a geometry-optimized TbZnGa4 structure.

## Properties
DOS(E_F) = 0.2741 states/eV per atom
E above lowest polymorph = 0.000 eV/atom
formation energy from the elements = -0.3335 eV/atom

```
data_TbZnGa4
_cell_length_a 10.514
_cell_length_b 4.214
_cell_length_c 6.598
_cell_angle_alpha 90.00
_cell_angle_beta 128.65
_cell_angle_gamma 90.00
_symmetry_space_group_name_H-M 'C 1 2/m 1'
_symmetry_Int_Tables_number 12
loop_
_symmetry_equiv_pos_as_xyz
'x,y,z'
'-x,-y,-z'
'-x,y,-z'
'x,-y,z'
'x+1/2,y+1/2,z'
'-x+1/2,-y+1/2,-z'
'-x+1/2,y+1/2,-z'
'x+1/2,-y+1/2,z'
loop_
_atom_site_label
_atom_site_fract_x
_atom_site_fract_y
_atom_site_fract_z
Tb1 0.000 0.000 0.000
Zn1 0.000 0.000 0.500
Ga1 0.161 0.500 0.454
Ga2 0.162 0.500 0.870
```